The following is a PBE with a Hubbard U calculation of a relaxed structure of Li2CoP2O7, from the Alexandria database.

Polymorph energy (0 for the lowest one), kcal/mol of atoms: 0.39
M_tot, μB/cell: 12.00
Electronic total energy, eV/atom: -6.648
ρ, g/cm3: 2.8

Cell: 5.232 7.702 14.482 Å, 94.65 90.00 90.00°
Last column: magnetic moment on the atom in μB.
Sites, in units of the cell vectors:
O  0.324  0.728  0.930  0.04
O  0.176  0.228  0.430  0.04
O  0.847  0.604  0.258  0.00
O  0.266  0.192  0.185  0.03
Li  0.327  0.827  0.807  0.00
O  0.088  0.296  0.977  0.04
O  0.912  0.704  0.023  0.04
P  0.181  0.997  0.180  0.00
O  0.347  0.896  0.242  0.00
O  0.153  0.396  0.742  0.00
O  0.234  0.692  0.685  0.03
O  0.248  0.428  0.572  0.01
O  0.157  0.112  0.589  0.04
Co  0.314  0.356  0.082  2.72
O  0.653  0.104  0.758  0.00
O  0.105  0.022  0.807  0.00
O  0.843  0.888  0.411  0.04
O  0.588  0.204  0.523  0.04
Li  0.837  0.268  0.683  0.00
P  0.319  0.497  0.680  0.00
Li  0.337  0.232  0.817  0.00
P  0.299  0.232  0.526  0.01
P  0.799  0.268  0.974  0.01
Co  0.686  0.644  0.918  2.72
Co  0.814  0.144  0.418  2.72
Li  0.663  0.768  0.183  0.00
O  0.895  0.978  0.193  0.00
Co  0.186  0.856  0.582  2.72
O  0.676  0.272  0.070  0.04
O  0.343  0.612  0.089  0.04
O  0.412  0.796  0.477  0.04
O  0.657  0.388  0.911  0.04
O  0.824  0.772  0.570  0.04
O  0.605  0.478  0.693  0.00
O  0.395  0.522  0.307  0.00
P  0.201  0.732  0.026  0.01
O  0.734  0.808  0.815  0.03
P  0.819  0.003  0.820  0.00
Li  0.173  0.327  0.307  0.00
O  0.748  0.072  0.928  0.01
Li  0.673  0.173  0.193  0.00
Li  0.827  0.673  0.693  0.00
O  0.766  0.308  0.315  0.03
O  0.252  0.928  0.072  0.01
O  0.752  0.572  0.428  0.01
Li  0.163  0.732  0.317  0.00
P  0.701  0.768  0.474  0.01
P  0.681  0.503  0.320  0.00

The following is a PBE with a Hubbard U calculation of a relaxed structure of LiCo6P7O24, from the Alexandria database.

M_tot, μB/cell: 36.07
Electronic total energy, eV/atom: -6.883
ρ, g/cm3: 3.6

Cell: 26.908 5.418 6.429 Å, 72.77 90.00 90.00°
Last column: magnetic moment on the atom in μB.
Sites, in units of the cell vectors:
O  0.807  0.154  0.409  0.03
P  0.474  0.689  0.204  0.01
O  0.620  0.428  0.206  0.05
Co  0.821  0.153  0.725  2.76
O  0.946  0.587  0.733  0.01
P  0.832  0.279  0.191  0.01
P  0.893  0.707  0.632  0.01
Li  0.750  0.937  0.449  0.00
O  0.906  0.883  0.402  0.06
Co  0.904  0.827  0.097  2.77
O  0.193  0.846  0.591  0.03
O  0.143  0.504  0.369  0.04
O  0.120  0.572  0.794  0.05
P  0.526  0.311  0.796  0.01
O  0.750  0.332  0.783  0.04
O  0.548  0.147  0.015  0.06
O  0.250  0.179  0.243  0.02
O  0.204  0.488  0.944  0.01
O  0.472  0.394  0.824  0.07
O  0.968  0.184  0.617  0.04
O  0.594  0.883  0.402  0.06
O  0.952  0.147  0.015  0.06
O  0.163  0.913  0.943  0.05
Co  0.553  0.239  0.308  2.76
O  0.452  0.853  0.985  0.06
Li  0.250  0.063  0.551  0.00
P  0.393  0.293  0.368  0.01
P  0.974  0.311  0.796  0.01
P  0.607  0.707  0.632  0.01
Co  0.947  0.239  0.308  2.76
O  0.857  0.496  0.631  0.04
P  0.168  0.721  0.809  0.01
O  0.750  0.821  0.757  0.02
P  0.750  0.543  0.897  0.00
O  0.048  0.853  0.985  0.06
O  0.704  0.512  0.056  0.01
O  0.337  0.913  0.943  0.05
O  0.380  0.572  0.794  0.05
O  0.796  0.512  0.056  0.01
O  0.880  0.428  0.206  0.05
Co  0.404  0.173  0.903  2.77
O  0.837  0.087  0.057  0.05
O  0.032  0.816  0.383  0.04
O  0.296  0.488  0.944  0.01
O  0.094  0.117  0.598  0.06
O  0.307  0.846  0.591  0.03
O  0.406  0.117  0.598  0.06
O  0.554  0.587  0.733  0.01
O  0.663  0.087  0.057  0.05
O  0.446  0.413  0.267  0.01
O  0.123  0.130  0.218  0.05
P  0.107  0.293  0.368  0.01
O  0.528  0.606  0.176  0.07
O  0.877  0.870  0.782  0.05
O  0.054  0.413  0.267  0.01
Co  0.447  0.761  0.692  2.76
P  0.332  0.721  0.809  0.01
Co  0.596  0.827  0.097  2.77
O  0.357  0.504  0.369  0.04
Co  0.096  0.173  0.903  2.77
O  0.643  0.496  0.631  0.04
O  0.623  0.870  0.782  0.05
P  0.026  0.689  0.204  0.01
Co  0.679  0.153  0.725  2.76
P  0.668  0.279  0.191  0.01
Co  0.179  0.847  0.275  2.76
Co  0.053  0.761  0.692  2.76
O  0.250  0.668  0.217  0.04
P  0.250  0.457  0.103  0.00
O  0.972  0.606  0.176  0.07
O  0.028  0.394  0.824  0.07
Co  0.321  0.847  0.275  2.76
O  0.377  0.130  0.218  0.05
O  0.532  0.184  0.617  0.04
O  0.468  0.816  0.383  0.04
O  0.693  0.154  0.409  0.03

The following is a PBE with a Hubbard U calculation of a relaxed structure of Li6Co5P8O28, from the Alexandria database.

M_tot, μB/cell: 15.07
Electronic total energy, eV/atom: -6.721
ρ, g/cm3: 3.3

Cell: 6.352 8.468 10.104 Å, 107.67 90.34 92.79°
Last column: magnetic moment on the atom in μB.
Sites, in units of the cell vectors:
Co  0.642  0.117  0.938  2.77
O  0.327  0.083  0.975  0.06
P  0.526  0.244  0.679  0.01
P  0.265  0.537  0.738  0.01
Li  0.023  0.163  0.604  0.00
P  0.849  0.791  0.979  0.01
Li  0.906  0.388  0.875  0.00
Co  0.689  0.117  0.359  2.75
O  0.929  0.580  0.276  0.01
Li  0.094  0.612  0.125  0.00
O  0.745  0.354  0.359  0.03
Co  0.311  0.883  0.641  2.75
O  0.223  0.389  0.032  0.04
O  0.296  0.806  0.422  0.03
O  0.329  0.127  0.649  0.03
P  0.812  0.819  0.687  0.00
O  0.078  0.201  0.171  0.01
O  0.018  0.085  0.371  0.03
O  0.671  0.873  0.351  0.03
Li  0.977  0.837  0.396  0.00
O  0.777  0.611  0.968  0.04
Co  0.358  0.883  0.062  2.77
P  0.735  0.463  0.262  0.01
O  0.044  0.837  0.073  0.04
O  0.704  0.194  0.578  0.03
O  0.460  0.421  0.668  0.01
O  0.071  0.420  0.724  0.01
O  0.239  0.353  0.410  0.00
O  0.540  0.579  0.332  0.01
P  0.474  0.756  0.321  0.01
P  0.188  0.181  0.313  0.00
O  0.922  0.799  0.829  0.01
Li  0.500  0.500  0.500  0.00
O  0.606  0.289  0.833  0.06
O  0.338  0.632  0.888  0.05
O  0.673  0.917  0.025  0.06
Li  0.000  0.500  0.500  0.00
O  0.956  0.163  0.927  0.04
O  0.385  0.080  0.262  0.06
P  0.151  0.209  0.021  0.01
O  0.982  0.915  0.629  0.03
O  0.394  0.711  0.167  0.06
O  0.615  0.920  0.738  0.06
O  0.255  0.646  0.641  0.03
O  0.761  0.647  0.590  0.00
Co  0.500  0.500  0.000  2.76
O  0.662  0.368  0.112  0.05

The following is a PBE with a Hubbard U calculation of a relaxed structure of LiCo2P2O8, from the Alexandria database.

Polymorph energy (0 for the lowest one), kcal/mol of atoms: 0.00
M_tot, μB/cell: 28.00
Electronic total energy, eV/atom: -6.667
ρ, g/cm3: 2.9

Cell: 5.127 10.409 13.609 Å, 90.00 90.00 90.00°
Last column: magnetic moment on the atom in μB.
Sites, in units of the cell vectors:
P  0.446  0.027  0.125  0.01
O  0.996  0.210  0.968  0.07
Co  0.437  0.783  0.247  3.03
O  0.499  0.328  0.646  0.19
O  0.985  0.079  0.373  0.06
P  0.446  0.473  0.625  0.01
O  0.441  0.451  0.216  0.13
O  0.149  0.000  0.122  0.05
O  0.559  0.951  0.216  0.13
O  0.081  0.792  0.283  0.12
O  0.499  0.172  0.146  0.19
O  0.015  0.921  0.873  0.06
O  0.919  0.292  0.283  0.12
O  0.418  0.490  0.030  0.07
Co  0.947  0.026  0.996  2.74
O  0.501  0.828  0.646  0.19
O  0.441  0.049  0.716  0.13
O  0.559  0.549  0.716  0.13
O  0.149  0.500  0.622  0.05
O  0.582  0.990  0.030  0.07
Li  0.944  0.972  0.248  0.00
O  0.641  0.734  0.351  0.21
O  0.004  0.710  0.968  0.07
O  0.851  0.500  0.122  0.05
O  0.851  0.000  0.622  0.05
P  0.554  0.527  0.125  0.01
O  0.359  0.234  0.351  0.21
O  0.015  0.579  0.373  0.06
Li  0.944  0.528  0.748  0.00
O  0.641  0.766  0.851  0.21
Li  0.056  0.028  0.748  0.00
O  0.004  0.790  0.468  0.07
Co  0.947  0.474  0.496  2.74
O  0.985  0.421  0.873  0.06
P  0.554  0.973  0.625  0.01
O  0.418  0.010  0.530  0.07
Co  0.053  0.526  0.996  2.74
Li  0.056  0.472  0.248  0.00
O  0.996  0.290  0.468  0.07
P  0.940  0.723  0.372  0.01
P  0.940  0.777  0.872  0.01
O  0.919  0.208  0.783  0.12
O  0.081  0.708  0.783  0.12
Co  0.563  0.217  0.747  3.03
P  0.060  0.223  0.372  0.01
O  0.582  0.510  0.530  0.07
Co  0.053  0.974  0.496  2.74
Co  0.437  0.717  0.747  3.03
Co  0.563  0.283  0.247  3.03
O  0.359  0.266  0.851  0.21
P  0.060  0.277  0.872  0.01
O  0.501  0.672  0.146  0.19